Record 1
## SiRu2O (GGA-PBE)

Data for crystalline SiRu2O at its relaxed geometry. Values from VASP.

```
&SYSTEM
  ibrav = 0, nat = 4, ntyp = 3
/
ATOMIC_SPECIES
Si 28.09 Si.upf
Ru 101.07 Ru.upf
O 16.00 O.upf
CELL_PARAMETERS angstrom
0.000 2.878 2.878
2.878 0.000 2.878
2.878 2.878 0.000
ATOMIC_POSITIONS crystal
Si 0.000 0.000 0.000
Ru 0.250 0.250 0.250
Ru 0.750 0.750 0.750
O 0.500 0.500 0.500
```

Calculated values
Space-group type: Fm-3m, No. 225
Calculated volume: 11.92 A^3/atom
Distance to the lowest polymorph of the same formula: 34.7 meV/atom
M_tot: 0.000 μB/f.u.
Energy relative to the elements, uncorrected: 0.04 eV per atom
N(E_F): 5.3 states/eV/cell



Record 2
## ScMo2H (GGA-PBE)

Data for crystalline ScMo2H at its relaxed geometry. Values from VASP.

```
&SYSTEM
  ibrav = 0, nat = 8, ntyp = 3
/
ATOMIC_SPECIES
Sc 44.96 Sc.upf
Mo 95.94 Mo.upf
H 1.01 H.upf
CELL_PARAMETERS angstrom
-2.801 2.801 3.951
2.801 -2.801 3.951
2.801 2.801 -3.951
ATOMIC_POSITIONS crystal
Sc 0.375 0.625 0.750
Sc 0.625 0.375 0.250
Mo 0.000 0.000 0.000
Mo 0.000 0.000 0.500
Mo 0.000 0.500 0.000
Mo 0.500 0.000 0.500
H 0.125 0.875 0.250
H 0.875 0.125 0.750
```

Calculated values
Space-group type: I4_1/amd, No. 141
Calculated volume: 15.50 A^3/atom
Distance to the lowest polymorph of the same formula: 0.0 meV/atom
M_tot: 0.000 μB/f.u.
N(E_F): 4.7 states/eV/cell



Record 3
## Pm2Ho9Er (GGA-PBE)

Data for crystalline Pm2Ho9Er at its relaxed geometry. Values from VASP.

```
&SYSTEM
  ibrav = 0, nat = 12, ntyp = 3
/
ATOMIC_SPECIES
Pm 145.00 Pm.upf
Ho 164.93 Ho.upf
Er 167.26 Er.upf
CELL_PARAMETERS angstrom
5.882 0.000 0.000
0.000 5.882 0.000
0.000 0.000 10.989
ATOMIC_POSITIONS crystal
Pm 0.000 0.000 0.166
Pm 0.000 0.000 0.834
Ho 0.000 0.500 0.000
Ho 0.000 0.500 0.336
Ho 0.000 0.500 0.664
Ho 0.500 0.000 0.000
Ho 0.500 0.000 0.336
Ho 0.500 0.000 0.664
Ho 0.500 0.500 0.166
Ho 0.500 0.500 0.500
Ho 0.500 0.500 0.834
Er 0.000 0.000 0.500
```

Calculated values
Space-group type: P4/mmm, No. 123
Calculated volume: 31.69 A^3/atom
Distance to the lowest polymorph of the same formula: 56.2 meV/atom
M_tot: 0.001 μB/f.u.
N(E_F): 23.9 states/eV/cell



Record 4
## Ho4SnSb (GGA-PBE)

Data for crystalline Ho4SnSb at its relaxed geometry. Values from VASP.

```
&SYSTEM
  ibrav = 0, nat = 12, ntyp = 3
/
ATOMIC_SPECIES
Ho 164.93 Ho.upf
Sn 118.71 Sn.upf
Sb 121.76 Sb.upf
CELL_PARAMETERS angstrom
6.055 0.000 0.000
0.010 7.639 0.000
3.027 2.085 8.034
ATOMIC_POSITIONS crystal
Ho 0.029 0.124 0.206
Ho 0.266 0.624 0.205
Ho 0.307 0.556 0.643
Ho 0.451 0.943 0.357
Ho 0.549 0.057 0.643
Ho 0.693 0.444 0.357
Ho 0.734 0.376 0.795
Ho 0.971 0.876 0.794
Sn 0.137 0.250 0.500
Sn 0.863 0.750 0.500
Sb 0.000 0.500 0.000
Sb 0.500 0.000 0.000
```

Calculated values
Space-group type: P-1, No. 2
Calculated volume: 30.97 A^3/atom
M_tot: 0.000 μB/f.u.
Energy relative to the elements, uncorrected: -0.39 eV per atom
N(E_F): 13.5 states/eV/cell



Record 5
## U3AsH3 (GGA-PBE)

Data for crystalline U3AsH3 at its relaxed geometry. Values from VASP.

```
&SYSTEM
  ibrav = 0, nat = 14, ntyp = 3
/
ATOMIC_SPECIES
U 238.03 U.upf
As 74.92 As.upf
H 1.01 H.upf
CELL_PARAMETERS angstrom
5.985 0.000 0.000
0.000 5.985 0.000
0.000 0.000 5.985
ATOMIC_POSITIONS crystal
U 0.000 0.250 0.500
U 0.000 0.750 0.500
U 0.250 0.500 0.000
U 0.500 0.000 0.250
U 0.500 0.000 0.750
U 0.750 0.500 0.000
As 0.000 0.000 0.000
As 0.500 0.500 0.500
H 0.000 0.500 0.250
H 0.000 0.500 0.750
H 0.250 0.000 0.500
H 0.500 0.250 0.000
H 0.500 0.750 0.000
H 0.750 0.000 0.500
```

Calculated values
Space-group type: Pm-3n, No. 223
Calculated volume: 15.31 A^3/atom
DFT total energy: -7.00 eV per atom
M_tot: 8.830 μB/f.u.
N(E_F): 28.0 states/eV/cell



Record 6
## ScBeAg (GGA-PBE)

Data for crystalline ScBeAg at its relaxed geometry. Values from VASP.

```
&SYSTEM
  ibrav = 0, nat = 6, ntyp = 3
/
ATOMIC_SPECIES
Sc 44.96 Sc.upf
Be 9.01 Be.upf
Ag 107.87 Ag.upf
CELL_PARAMETERS angstrom
5.812 -1.759 0.000
5.812 1.759 0.000
-1.196 0.000 4.885
ATOMIC_POSITIONS crystal
Sc 0.126 0.126 0.324
Sc 0.874 0.874 0.676
Be 0.234 0.234 0.866
Be 0.766 0.766 0.134
Ag 0.414 0.414 0.224
Ag 0.586 0.586 0.776
```

Calculated values
Space-group type: C2/m, No. 12
Calculated volume: 16.65 A^3/atom
Distance to the lowest polymorph of the same formula: 0.0 meV/atom
M_tot: 0.001 μB/f.u.
N(E_F): 5.5 states/eV/cell



Record 7
## TlTe2Br2 (GGA-PBE)

Data for crystalline TlTe2Br2 at its relaxed geometry. Values from VASP.

```
&SYSTEM
  ibrav = 0, nat = 5, ntyp = 3
/
ATOMIC_SPECIES
Tl 204.38 Tl.upf
Te 127.60 Te.upf
Br 79.90 Br.upf
CELL_PARAMETERS angstrom
-3.133 3.133 4.979
3.133 -3.133 4.979
3.133 3.133 -4.979
ATOMIC_POSITIONS crystal
Tl 0.000 0.000 0.000
Te 0.372 0.372 0.000
Te 0.628 0.628 0.000
Br 0.250 0.750 0.500
Br 0.750 0.250 0.500
```

Calculated values
Space-group type: I4/mmm, No. 139
Calculated volume: 39.09 A^3/atom
Distance to the lowest polymorph of the same formula: 101.7 meV/atom
M_tot: 0.000 μB/f.u.
Energy relative to the elements, uncorrected: -0.08 eV per atom
N(E_F): 2.6 states/eV/cell



Record 8
## K2Hf2Sn (GGA-PBE)

Data for crystalline K2Hf2Sn at its relaxed geometry. Values from VASP.

```
&SYSTEM
  ibrav = 0, nat = 5, ntyp = 3
/
ATOMIC_SPECIES
K 39.10 K.upf
Hf 178.49 Hf.upf
Sn 118.71 Sn.upf
CELL_PARAMETERS angstrom
-2.088 2.088 8.701
2.088 -2.088 8.701
2.088 2.088 -8.701
ATOMIC_POSITIONS crystal
K 0.250 0.750 0.500
K 0.750 0.250 0.500
Hf 0.074 0.074 0.000
Hf 0.926 0.926 0.000
Sn 0.500 0.500 0.000
```

Calculated values
Space-group type: I4/mmm, No. 139
Calculated volume: 30.36 A^3/atom
Distance to the lowest polymorph of the same formula: 265.9 meV/atom
M_tot: 0.620 μB/f.u.
N(E_F): 6.3 states/eV/cell



Record 9
## LaSmTm3 (GGA-PBE)

Data for crystalline LaSmTm3 at its relaxed geometry. Values from VASP.

```
&SYSTEM
  ibrav = 0, nat = 10, ntyp = 3
/
ATOMIC_SPECIES
La 138.91 La.upf
Sm 150.36 Sm.upf
Tm 168.93 Tm.upf
CELL_PARAMETERS angstrom
3.663 0.000 0.000
0.000 11.521 0.000
-1.826 0.000 8.376
ATOMIC_POSITIONS crystal
La 0.188 0.250 0.377
La 0.812 0.750 0.623
Sm 0.485 0.750 0.973
Sm 0.515 0.250 0.027
Tm 0.149 0.750 0.299
Tm 0.342 0.004 0.685
Tm 0.342 0.496 0.685
Tm 0.658 0.504 0.315
Tm 0.658 0.996 0.315
Tm 0.851 0.250 0.701
```

Calculated values
Space-group type: P2_1/m, No. 11
Calculated volume: 35.35 A^3/atom
Distance to the lowest polymorph of the same formula: 310.2 meV/atom
M_tot: 0.000 μB/f.u.
N(E_F): 14.8 states/eV/cell



Record 10
## CaAl3As4O12 (GGA-PBE)

Data for crystalline CaAl3As4O12 at its relaxed geometry. Values from VASP.

```
&SYSTEM
  ibrav = 0, nat = 20, ntyp = 4
/
ATOMIC_SPECIES
Ca 40.08 Ca.upf
Al 26.98 Al.upf
As 74.92 As.upf
O 16.00 O.upf
CELL_PARAMETERS angstrom
5.215 3.011 2.506
-5.215 3.011 2.506
0.000 -6.022 2.506
ATOMIC_POSITIONS crystal
Ca 0.000 0.000 0.000
Al 0.000 0.580 0.420
Al 0.420 0.000 0.580
Al 0.580 0.420 0.000
As 0.100 0.500 0.900
As 0.500 0.500 0.500
As 0.500 0.900 0.100
As 0.900 0.100 0.500
O 0.024 0.278 0.356
O 0.070 0.930 0.500
O 0.278 0.356 0.024
O 0.307 0.693 0.500
O 0.356 0.024 0.278
O 0.500 0.070 0.930
O 0.500 0.307 0.693
O 0.644 0.722 0.976
O 0.693 0.500 0.307
O 0.722 0.976 0.644
O 0.930 0.500 0.070
O 0.976 0.644 0.722
```

Calculated values
Space-group type: R32, No. 155
Calculated volume: 11.81 A^3/atom
M_tot: 0.003 μB/f.u.
Energy relative to the elements, uncorrected: -1.76 eV per atom
N(E_F): 8.1 states/eV/cell



Record 11
## CaHo2Tl (GGA-PBE)

Data for crystalline CaHo2Tl at its relaxed geometry. Values from VASP.

```
&SYSTEM
  ibrav = 0, nat = 4, ntyp = 3
/
ATOMIC_SPECIES
Ca 40.08 Ca.upf
Ho 164.93 Ho.upf
Tl 204.38 Tl.upf
CELL_PARAMETERS angstrom
4.909 0.000 0.000
0.000 4.909 0.000
0.000 0.000 4.848
ATOMIC_POSITIONS crystal
Ca 0.000 0.000 0.000
Ho 0.000 0.500 0.500
Ho 0.500 0.000 0.500
Tl 0.500 0.500 0.000
```

Calculated values
Space-group type: P4/mmm, No. 123
Calculated volume: 29.21 A^3/atom
Distance to the lowest polymorph of the same formula: 0.0 meV/atom
M_tot: 0.096 μB/f.u.
N(E_F): 3.7 states/eV/cell



Record 12
## ZnCu (GGA-PBE)

Data for crystalline ZnCu at its relaxed geometry. Values from VASP.

```
&SYSTEM
  ibrav = 0, nat = 4, ntyp = 2
/
ATOMIC_SPECIES
Zn 65.41 Zn.upf
Cu 63.55 Cu.upf
CELL_PARAMETERS angstrom
1.309 -4.891 0.000
1.309 4.891 0.000
0.000 0.000 4.133
ATOMIC_POSITIONS crystal
Zn 0.168 0.832 0.750
Zn 0.832 0.168 0.250
Cu 0.430 0.570 0.750
Cu 0.570 0.430 0.250
```

Calculated values
Space-group type: Cmcm, No. 63
Calculated volume: 13.24 A^3/atom
DFT total energy: -2.74 eV per atom
M_tot: 0.000 μB/f.u.
N(E_F): 0.7 states/eV/cell